Here is an optimized crystal structure of LiMnTc3 from the Alexandria database. Energies are from GGA-PBE.

Structure (POSCAR):
```
LiMnTc3
1.0
4.0552 0.0000 0.0000
0.0000 4.0552 0.0000
0.0000 0.0000 4.0552
Mn Tc Li
1 3 1
Direct
0.5000 0.5000 0.5000 Mn
0.0000 0.5000 0.0000 Tc
0.0000 0.0000 0.5000 Tc
0.5000 0.0000 0.0000 Tc
0.0000 0.0000 0.0000 Li
```

Formation energy ... 1283.6 meV/atom
M_tot ... 0.00 μB/cell
Energy relative to the lowest polymorph listed for this composition ... 120 meV/atom
DOS(E_F) ... 7.1 states/eV/f.u.
DFT total energy ... -7.153 eV/atom
V ... 67 Å³/cell
SG ... Pm-3m, No. 221
Density ... 8.86 g cm⁻³

Here is an optimized crystal structure of Hf2TaV from the Alexandria database. Energies are from GGA-PBE.

Structure (POSCAR):
```
Hf2TaV
1.0
-2.9357 -0.1720 -0.6054
-1.3864 -2.6630 0.0343
-3.5515 0.2813 9.6967
V Hf Ta
1 2 1
Direct
0.0000 0.0000 0.0000 V
0.0853 0.0853 0.7440 Hf
0.9147 0.9147 0.2560 Hf
0.5000 0.5000 0.5000 Ta
```

Formation energy ... 529.8 meV/atom
M_tot ... 0.01 μB/cell
Energy relative to the lowest polymorph listed for this composition ... 351 meV/atom
DOS(E_F) ... 5.4 states/eV/f.u.
DFT total energy ... -9.690 eV/atom
V ... 80 Å³/cell
SG ... R-3m, No. 166
Density ... 12.30 g cm⁻³

Here is an optimized crystal structure of Y3CuNi3 from the Alexandria database. Energies are from GGA-PBE.

Structure (POSCAR):
```
Y3CuNi3
1.0
-1.2583 3.8225 0.6351
-4.0361 -3.3199 -1.0819
-1.3224 -2.5605 12.7905
Y Cu Ni
6 2 6
Direct
0.2034 0.4069 0.8972 Y
0.7966 0.5931 0.1028 Y
0.2034 0.4069 0.6028 Y
0.7966 0.5931 0.3972 Y
0.4858 0.9715 0.7500 Y
0.5142 0.0285 0.2500 Y
0.5000 0.0000 0.0000 Cu
0.5000 0.0000 0.5000 Cu
0.9170 0.8340 0.9087 Ni
0.0830 0.1660 0.0913 Ni
0.9170 0.8340 0.5913 Ni
0.0830 0.1660 0.4087 Ni
0.7799 0.5599 0.7500 Ni
0.2201 0.4401 0.2500 Ni
```

Formation energy ... -396.4 meV/atom
M_tot ... 0.00 μB/cell
DOS(E_F) ... 4.4 states/eV/f.u.
DFT total energy ... -6.230 eV/atom
V ... 263 Å³/cell
SG ... Cmcm, No. 63
Density ... 6.38 g cm⁻³